Below is a geometry-optimized BaCeCl4 structure, with properties calculated at the GGA-PBE level.

It has space group C2/c (No. 15), with a = 9.4419 Å, b = 13.5079 Å, c = 6.8640 Å, α = 90.00°, β = 123.38° and γ = 90.00°. Symmetry generates all atoms from Ba at (0.0000, 0.1374, 0.2500), Ce at (0.0000, 0.4955, 0.7500), Cl at (0.1121, 0.3299, 0.5729) and Cl at (0.2069, 0.0582, 0.7721).

The value obtained for the formation energy without anion corrections is -2.257 eV per atom. The volume comes out at 30.46 A^3/atom. The calculation puts the total magnetization at 0.235 μB per atom.